(1)
{"formula": "Li4In", "functional": "GGA-PBE", "state": "relaxed", "lattice": [[6.0695, 0.0000, 0.0000], [0.0000, 6.2339, 0.0000], [0.0000, 0.0000, 4.7230]], "species": ["Li", "Li", "Li", "Li", "Li", "Li", "Li", "Li", "In", "In"], "frac_coords": [[0.0088, 0.2083, 0.0000], [0.2114, 0.0089, 0.5000], [0.2886, 0.5089, 0.0000], [0.4912, 0.7083, 0.5000], [0.5088, 0.2917, 0.5000], [0.7114, 0.4911, 0.0000], [0.7886, 0.9911, 0.5000], [0.9912, 0.7917, 0.0000], [0.0000, 0.5000, 0.5000], [0.5000, 0.0000, 0.0000]], "crystal_system": "orthorhombic", "total_energy_ev_per_fu": -11.14, "sg": "Pnnm, No. 58", "ef_ev_per_fu": -0.75, "e_above_lowest_polymorph_mev_per_atom": 58.8, "m_tot_mub_per_cell": 0.0}

---

(2)
{"formula": "Li3In7", "functional": "GGA-PBE", "state": "relaxed", "lattice": [[9.5553, 0.0000, 0.0000], [-4.7776, 8.2751, 0.0000], [0.0000, 0.0000, 5.9710]], "species": ["Li", "Li", "Li", "Li", "Li", "Li", "In", "In", "In", "In", "In", "In", "In", "In", "In", "In", "In", "In", "In", "In"], "frac_coords": [[0.2092, 0.4185, 0.0000], [0.2092, 0.7908, 0.0000], [0.4185, 0.2092, 0.5000], [0.5815, 0.7908, 0.0000], [0.7908, 0.2092, 0.5000], [0.7908, 0.5815, 0.5000], [0.0321, 0.5160, 0.7037], [0.1228, 0.2457, 0.5006], [0.1228, 0.8772, 0.5006], [0.2457, 0.1228, 0.0006], [0.3333, 0.6667, 0.3770], [0.4840, 0.5160, 0.7037], [0.4840, 0.9679, 0.7037], [0.5160, 0.0321, 0.2037], [0.5160, 0.4840, 0.2037], [0.6667, 0.3333, 0.8770], [0.7543, 0.8772, 0.5006], [0.8772, 0.1228, 0.0006], [0.8772, 0.7543, 0.0006], [0.9679, 0.4840, 0.2037]], "crystal_system": "hexagonal", "total_energy_ev_per_fu": -26.01, "sg": "P6_3mc, No. 186", "ef_ev_per_fu": -1.10, "e_above_lowest_polymorph_mev_per_atom": 49.1, "m_tot_mub_per_cell": 0.0}

---

(3)
{"formula": "Li3In5", "functional": "GGA-PBE", "state": "relaxed", "lattice": [[3.4728, 0.0000, 0.0000], [0.0000, 3.4728, 0.0000], [0.0000, 0.0000, 14.5206]], "species": ["Li", "Li", "Li", "In", "In", "In", "In", "In"], "frac_coords": [[0.0000, 0.0000, 0.0000], [0.5000, 0.5000, 0.3845], [0.5000, 0.5000, 0.6155], [0.0000, 0.0000, 0.2691], [0.0000, 0.0000, 0.5000], [0.0000, 0.0000, 0.7309], [0.5000, 0.5000, 0.1239], [0.5000, 0.5000, 0.8761]], "crystal_system": "tetragonal", "total_energy_ev_per_fu": -20.93, "sg": "P4/mmm, No. 123", "ef_ev_per_fu": -1.50, "e_above_lowest_polymorph_mev_per_atom": 13.0, "m_tot_mub_per_cell": 0.0}

---

Please write out number 1 again, unchanged.
{"formula": "Li4In", "functional": "GGA-PBE", "state": "relaxed", "lattice": [[6.0695, 0.0000, 0.0000], [0.0000, 6.2339, 0.0000], [0.0000, 0.0000, 4.7230]], "species": ["Li", "Li", "Li", "Li", "Li", "Li", "Li", "Li", "In", "In"], "frac_coords": [[0.0088, 0.2083, 0.0000], [0.2114, 0.0089, 0.5000], [0.2886, 0.5089, 0.0000], [0.4912, 0.7083, 0.5000], [0.5088, 0.2917, 0.5000], [0.7114, 0.4911, 0.0000], [0.7886, 0.9911, 0.5000], [0.9912, 0.7917, 0.0000], [0.0000, 0.5000, 0.5000], [0.5000, 0.0000, 0.0000]], "crystal_system": "orthorhombic", "total_energy_ev_per_fu": -11.14, "sg": "Pnnm, No. 58", "ef_ev_per_fu": -0.75, "e_above_lowest_polymorph_mev_per_atom": 58.8, "m_tot_mub_per_cell": 0.0}